PBE BaZnTcO2, relaxed; space-group type = No. 123; formation energy without anion corrections = -0.28 eV/atom; spin magnetization = 0.00 μB/f.u.
1.0
-3.736 1.162 -1.047
-0.313 -4.727 -4.129
-1.551 -2.403 2.868
Zn Ba O Tc
1 1 2 1
direct
0.500 0.500 0.500
0.000 0.500 0.000
0.000 0.000 0.500
0.500 0.000 0.000
0.000 0.000 0.000

PBE K3WCl7, relaxed; space-group type = No. 8; formation energy without anion corrections = -1.41 eV/atom; spin magnetization = 2.00 μB/f.u.
1.0
-5.734 2.400 3.260
-3.677 -4.987 -3.296
-1.148 -5.191 5.489
K W Cl
3 1 7
direct
0.771 0.212 0.483
0.505 0.505 0.940
0.212 0.771 0.483
0.012 0.012 0.974
0.160 0.160 0.177
0.693 0.036 0.156
0.995 0.329 0.784
0.036 0.693 0.156
0.554 0.554 0.533
0.329 0.995 0.784
0.858 0.858 0.780

PBE SrPrHg4, relaxed; space-group type = No. 71; spin magnetization = 0.00 μB/f.u.; formation enthalpy at 0 K = -0.45 eV/atom
1.0
-2.502 4.382 3.828
2.502 -4.382 3.828
2.502 4.382 -3.828
Sr Pr Hg
1 1 4
direct
0.500 0.000 0.500
0.000 0.500 0.500
0.601 0.768 0.833
0.935 0.768 0.167
0.399 0.232 0.167
0.065 0.232 0.833

PBE LiNb2RePb, relaxed; space-group type = No. 123; spin magnetization = 0.00 μB/f.u.; formation enthalpy at 0 K = 1.94 eV/atom
1.0
5.140 0.000 0.000
0.000 5.140 0.000
0.000 0.000 4.125
Pb Re Nb Li
1 1 2 1
direct
0.000 0.000 0.000
0.500 0.500 0.500
0.000 0.500 0.000
0.500 0.000 0.000
0.000 0.000 0.500

PBE ThNp2As3, relaxed; space-group type = No. 71; spin magnetization = 8.06 μB/f.u.; formation enthalpy at 0 K = -0.93 eV/atom
1.0
4.017 0.000 -1.138
-0.618 5.451 -2.181
-0.133 -0.335 7.189
Th Np As
1 2 3
direct
0.000 0.500 0.000
0.665 0.165 0.329
0.335 0.835 0.671
0.327 0.327 0.655
0.000 0.000 0.000
0.673 0.673 0.345

PBE Mn4Zn, relaxed; space-group type = No. 229; spin magnetization = 15.53 μB/f.u.; formation enthalpy at 0 K = 1.02 eV/atom
1.0
-0.461 0.804 4.841
0.741 4.288 -2.315
-4.115 -2.104 -1.715
Mn Zn
4 1
direct
0.500 0.000 0.000
0.000 0.500 0.000
0.000 0.000 0.500
0.500 0.500 0.500
0.000 0.000 0.000

PBE Er2NpCr2C4, relaxed; space-group type = No. 12; spin magnetization = 2.69 μB/f.u.; formation enthalpy at 0 K = -0.05 eV/atom
1.0
-1.720 -2.274 -1.723
4.047 -3.499 3.797
-4.904 1.342 3.124
Er Np Cr C
2 1 2 4
direct
0.864 0.727 0.456
0.136 0.273 0.544
0.000 0.000 0.000
0.321 0.641 0.010
0.679 0.359 0.990
0.779 0.558 0.791
0.221 0.442 0.209
0.470 0.939 0.255
0.530 0.061 0.745

PBE Tl2IrW, relaxed; space-group type = No. 10; spin magnetization = 0.00 μB/f.u.; formation enthalpy at 0 K = 0.92 eV/atom
1.0
4.727 0.000 0.000
0.000 3.003 0.002
0.000 0.154 5.423
Ir Tl W
1 2 1
direct
0.500 0.750 0.750
0.000 0.968 0.998
0.000 0.532 0.502
0.500 0.250 0.250